Entry from Alexandria via LeMat-Bulk: an optimized crystal structure of SrTa2Si (GGA-PBE).

Lattice parameters (Å, degrees): 3.440 3.440 7.599 90.00 90.00 90.00
Positions (direct):
Sr 0.000 0.000 0.000
Ta 0.000 0.000 0.531
Ta 0.500 0.500 0.350
Si 0.500 0.500 0.700

## Properties
As for the formation energy without anion corrections: 0.154 eV/atom. As for the volume: 90 Å³ per cell. The value obtained for the total magnetization is 0.01 μB/cell.

***

Entry from Alexandria via LeMat-Bulk: an optimized crystal structure of SrTa2Si (GGA-PBE).

Lattice parameters (Å, degrees): 3.828 4.731 9.244 90.00 90.00 90.00
Positions (direct):
Sr 0.000 0.000 0.000
Sr 0.500 0.500 0.000
Ta 0.000 0.500 0.317
Ta 0.000 0.500 0.683
Ta 0.500 0.000 0.317
Ta 0.500 0.000 0.683
Si 0.000 0.000 0.500
Si 0.500 0.500 0.500

## Properties
As for the formation energy without anion corrections: 0.404 eV/atom. As for the volume: 167 Å³ per cell. The value obtained for the total magnetization is 0.00 μB/cell.

***

Entry from Alexandria via LeMat-Bulk: an optimized crystal structure of SrTa2Si (GGA-PBE).

Lattice parameters (Å, degrees): 4.196 4.196 4.702 90.00 90.00 90.00
Positions (direct):
Sr 0.000 0.000 0.000
Ta 0.000 0.500 0.500
Ta 0.500 0.000 0.500
Si 0.500 0.500 0.000

## Properties
As for the formation energy without anion corrections: 0.765 eV/atom. As for the volume: 83 Å³ per cell. The value obtained for the total magnetization is 0.00 μB/cell.

***

Entry from Alexandria via LeMat-Bulk: an optimized crystal structure of SrTa2Si (GGA-PBE).

Lattice parameters (Å, degrees): 3.034 3.034 30.710 90.00 90.00 120.00
Positions (direct):
Sr 0.000 0.000 0.000
Sr 0.333 0.667 0.667
Sr 0.667 0.333 0.333
Ta 0.000 0.000 0.236
Ta 0.000 0.000 0.764
Ta 0.333 0.667 0.431
Ta 0.333 0.667 0.903
Ta 0.667 0.333 0.097
Ta 0.667 0.333 0.569
Si 0.000 0.000 0.500
Si 0.333 0.667 0.167
Si 0.667 0.333 0.833

## Properties
As for the formation energy without anion corrections: 0.628 eV/atom. As for the volume: 245 Å³ per cell. The value obtained for the total magnetization is 0.00 μB/cell.